[1]
Computed, not measured: a relaxed structure of PdIN at the PBE-GGA level of DFT.

a b c (Å): 10.0093 10.0093 10.0093
angles (deg): 21.43 21.43 21.43
Closest atoms and distances in Å follow each position.
Fractional positions:
Pd (0.1199, 0.1199, 0.1199)  4 N 2.08-2.25
Pd (0.8801, 0.8801, 0.8801)  4 N 2.08-2.25
I (0.3907, 0.3907, 0.3907)  3 Pd 2.83
I (0.6093, 0.6093, 0.6093)  3 Pd 2.83
N (0.1908, 0.1908, 0.1908)  4 Pd 2.08-2.25
N (0.8092, 0.8092, 0.8092)  4 Pd 2.08-2.25

Its energy above the lowest structure with this stoichiometry is 189.8 meV/atom. The symmetry is R-3m, No. 166. The value obtained for the raw total energy is -4.12 eV per atom.

=====

[2]
Computed, not measured: a relaxed structure of PdIN at the PBE-GGA level of DFT.

a b c (Å): 3.3543 4.0923 9.1042
angles (deg): 90.00 90.00 90.00
Closest atoms and distances in Å follow each position.
Fractional positions:
Pd (0.2500, 0.2500, 0.0969)  4 N 2.09-2.14
Pd (0.7500, 0.7500, 0.9031)  4 N 2.09-2.14
I (0.2500, 0.7500, 0.6662)  2 Pd 2.73
I (0.7500, 0.2500, 0.3338)  2 Pd 2.73
N (0.2500, 0.7500, 0.0488)  4 Pd 2.09-2.14
N (0.7500, 0.2500, 0.9512)  4 Pd 2.09-2.14

Its energy above the lowest structure with this stoichiometry is 0.0 meV/atom. The symmetry is Pmmn, No. 59. The value obtained for the raw total energy is -4.31 eV per atom.